First-principles (PBE) data for a relaxed structure of ZrNpTiOs, as listed in Alexandria via LeMat-Bulk.

```
data_ZrNpTiOs
_chemical_formula_sum 'Zr4 Np4 Ti4 Os4'
_cell_length_a 6.6197
_cell_length_b 6.6197
_cell_length_c 6.6197
_cell_angle_alpha 90.00
_cell_angle_beta 90.00
_cell_angle_gamma 90.00
_space_group_name_H-M_alt 'F -4 3 m'
_space_group_IT_number 216
_space_group_name_Hall 'F -4 2 3'
loop_
_atom_site_label
_atom_site_fract_x
_atom_site_fract_y
_atom_site_fract_z
Zr1 0.0000 0.0000 0.0000
Np1 0.2500 0.2500 0.2500
Ti1 0.0000 0.0000 0.5000
Os1 0.2500 0.2500 0.7500
```

The value obtained for the density of states at the Fermi level is 2.73 states/eV per atom. The total energy is -10.015 eV per atom. The energy of formation comes out at 0.14 eV per atom.

First-principles (PBE) data for a relaxed structure of Np2TlOs, as listed in Alexandria via LeMat-Bulk.

```
data_Np2TlOs
_chemical_formula_sum 'Np2 Tl1 Os1'
_cell_length_a 3.1959
_cell_length_b 3.1959
_cell_length_c 8.8246
_cell_angle_alpha 90.00
_cell_angle_beta 90.00
_cell_angle_gamma 90.00
_space_group_name_H-M_alt 'P 4/m m m'
_space_group_IT_number 123
_space_group_name_Hall '-P 4 2'
loop_
_atom_site_label
_atom_site_fract_x
_atom_site_fract_y
_atom_site_fract_z
Np1 0.0000 0.0000 0.2064
Tl1 0.5000 0.5000 0.5000
Os1 0.5000 0.5000 0.0000
```

The value obtained for the density of states at the Fermi level is 2.28 states/eV per atom. The total energy is -9.707 eV per atom. The energy of formation comes out at 0.16 eV per atom.

First-principles (PBE) data for a relaxed structure of TmNpOs4, as listed in Alexandria via LeMat-Bulk.

```
data_TmNpOs4
_chemical_formula_sum 'Tm4 Np4 Os16'
_cell_length_a 7.5375
_cell_length_b 7.5375
_cell_length_c 7.5375
_cell_angle_alpha 90.00
_cell_angle_beta 90.00
_cell_angle_gamma 90.00
_space_group_name_H-M_alt 'F -4 3 m'
_space_group_IT_number 216
_space_group_name_Hall 'F -4 2 3'
loop_
_atom_site_label
_atom_site_fract_x
_atom_site_fract_y
_atom_site_fract_z
Tm1 0.0000 0.0000 0.0000
Np1 0.2500 0.2500 0.2500
Os1 0.1251 0.1251 0.6251
```

The value obtained for the density of states at the Fermi level is 1.73 states/eV per atom. The total energy is -10.534 eV per atom. The energy of formation comes out at -0.15 eV per atom.

no.,volume (Å³/atom)
1,18.1
2,22.5
3,17.8